This record from Alexandria via LeMat-Bulk describes an optimized crystal structure of YHgNO2. The functional is PBE.

Geometry as POSCAR:
```
YHgNO2
1.0
4.154 0.000 0.000
0.000 4.154 0.000
0.000 0.000 4.187
Hg Y N O
1 1 1 2
Cartesian
0.000 0.000 0.000
2.077 2.077 2.093
0.000 0.000 2.093
2.077 0.000 0.000
0.000 2.077 0.000
```

Values from the calculation:
**Mass density**: 7.71 g/cm³
**Total magnetization**: 0.000 μB/atom
**Electronic total energy**: -0.3830 Ry per atom

This record from Alexandria via LeMat-Bulk describes an optimized crystal structure of YHgN2O. The functional is PBE.

Geometry as POSCAR:
```
YHgN2O
1.0
4.136 0.000 0.000
0.000 4.136 0.000
0.000 0.000 4.191
Y N O Hg
1 2 1 1
Cartesian
2.068 2.068 2.096
2.068 0.000 0.000
0.000 2.068 0.000
0.000 0.000 2.096
0.000 0.000 0.000
```

Values from the calculation:
**Mass density**: 7.72 g/cm³
**Total magnetization**: 0.000 μB/atom
**Electronic total energy**: -0.3770 Ry per atom

This record from Alexandria via LeMat-Bulk describes an optimized crystal structure of ZnHgNO2. The functional is PBE.

Geometry as POSCAR:
```
ZnHgNO2
1.0
-2.609 3.263 0.866
-2.200 -0.813 -3.564
-2.479 -2.543 2.110
O Hg Zn N
2 1 1 1
Cartesian
-1.305 1.631 0.433
-1.100 -0.406 -1.782
0.000 0.000 0.000
-3.644 -0.046 -0.294
-1.240 -1.271 1.055
```

Values from the calculation:
**Mass density**: 6.89 g/cm³
**Total magnetization**: 0.306 μB/atom
**Electronic total energy**: -0.2049 Ry per atom

- Which value of electronic total energy does entry 1 give?
  -0.3830 Ry per atom

- What is the electronic total energy in the second record?
  -0.3770 Ry per atom

- Which formula does entry 1 have?
  YHgNO2